BaAgRu2: optimized geometry, PBE.

Unit cell a=4.7169 b=4.7169 c=10.3387 alpha=76.81 beta=76.81 gamma=90.00
Sites, in units of the cell vectors:
1 Ru 0.3753 0.1250 0.2500
2 Ru 0.3747 0.6250 0.2500
3 Ru 0.3750 0.6247 0.7500
4 Ru 0.8750 0.6253 0.7500
5 Ba 0.0000 0.0000 0.0000
6 Ba 0.7500 0.2500 0.5000
7 Ag 0.5000 0.5000 0.0000
8 Ag 0.2500 0.7500 0.5000

- Magnetization: 2.147 Bohr magnetons per cell
- Uncorrected energy: -5.086 eV/atom
- Crystal system: tetragonal
- E above lowest polymorph: 0.446 eV per atom